Run one
{
  "formula": "Sc2ZnOs",
  "functional": "meta-GGA SCAN",
  "state": "single point on PBEsol structure",
  "lattice_angstrom": [[3.2381, 0.0000, 0.0000], [0.0000, 3.2381, 0.0000], [0.0000, 0.0000, 6.5229]],
  "species": ["Sc", "Sc", "Zn", "Os"],
  "frac_coords": [[0.0000, 0.0000, 0.2327], [0.0000, 0.0000, 0.7673], [0.5000, 0.5000, 0.5000], [0.5000, 0.5000, 0.0000]],
  "sg": "P4/mmm"
}

=====

Run two
{
  "formula": "Sc2ZnOs",
  "functional": "meta-GGA SCAN",
  "state": "single point on PBEsol structure",
  "lattice_angstrom": [[0.0000, 3.2237, 3.2237], [3.2237, 0.0000, 3.2237], [3.2237, 3.2237, 0.0000]],
  "species": ["Sc", "Sc", "Zn", "Os"],
  "frac_coords": [[0.2500, 0.2500, 0.2500], [0.7500, 0.7500, 0.7500], [0.0000, 0.0000, 0.0000], [0.5000, 0.5000, 0.5000]],
  "sg": "Fm-3m"
}

=====

The calculated energies rank the structures as follows, beginning with the most stable: run one, run two.

=====

Run one
{
  "formula": "ZrScOs2",
  "functional": "meta-GGA SCAN",
  "state": "single point on PBEsol structure",
  "lattice_angstrom": [[0.0000, 3.2083, 3.2083], [3.2083, 0.0000, 3.2083], [3.2083, 3.2083, 0.0000]],
  "species": ["Zr", "Sc", "Os", "Os"],
  "frac_coords": [[0.0000, 0.0000, 0.0000], [0.5000, 0.5000, 0.5000], [0.2500, 0.2500, 0.2500], [0.7500, 0.7500, 0.7500]],
  "sg": "Fm-3m"
}

=====

Run two
{
  "formula": "ZrScOs2",
  "functional": "meta-GGA SCAN",
  "state": "single point on PBEsol structure",
  "lattice_angstrom": [[4.5372, 0.0000, 0.0000], [0.0000, 4.5372, 0.0000], [0.0000, 0.0000, 3.2138]],
  "species": ["Zr", "Sc", "Os", "Os"],
  "frac_coords": [[0.0000, 0.0000, 0.0000], [0.5000, 0.5000, 0.0000], [0.0000, 0.5000, 0.5000], [0.5000, 0.0000, 0.5000]],
  "sg": "P4/mmm"
}

=====

The calculated energies rank the structures as follows, beginning with the most stable: run one, run two.

=====

Run one
{
  "formula": "ZrScOs2",
  "functional": "meta-GGA SCAN",
  "state": "single point on PBEsol structure",
  "lattice_angstrom": [[0.0000, 3.1892, 3.1892], [3.1892, 0.0000, 3.1892], [3.1892, 3.1892, 0.0000]],
  "species": ["Zr", "Sc", "Os", "Os"],
  "frac_coords": [[0.0000, 0.0000, 0.0000], [0.2500, 0.2500, 0.2500], [0.5000, 0.5000, 0.5000], [0.7500, 0.7500, 0.7500]],
  "sg": "F-43m"
}

=====

Run two
{
  "formula": "ZrScOs2",
  "functional": "meta-GGA SCAN",
  "state": "single point on PBEsol structure",
  "lattice_angstrom": [[1.4326, 0.8271, 9.6221], [-1.4326, 0.8271, 9.6221], [0.0000, -1.6542, 9.6221]],
  "species": ["Zr", "Sc", "Os", "Os"],
  "frac_coords": [[0.0000, 0.0000, 0.0000], [0.2361, 0.2361, 0.2361], [0.4896, 0.4896, 0.4896], [0.7521, 0.7521, 0.7521]],
  "sg": "R3m"
}

=====

Run three
{
  "formula": "ZrScOs2",
  "functional": "meta-GGA SCAN",
  "state": "single point on PBEsol structure",
  "lattice_angstrom": [[-1.6028, 2.3872, 4.3052], [1.6028, -2.3872, 4.3052], [1.6028, 2.3872, -4.3052]],
  "species": ["Zr", "Sc", "Os", "Os"],
  "frac_coords": [[0.0000, 0.0000, 0.0000], [0.5000, 0.5000, 0.0000], [0.2482, 0.7482, 0.5000], [0.7518, 0.2518, 0.5000]],
  "sg": "Immm"
}

=====

Run four
{
  "formula": "ZrScOs2",
  "functional": "meta-GGA SCAN",
  "state": "single point on PBEsol structure",
  "lattice_angstrom": [[-1.6044, 2.2265, 4.6649], [1.6044, -2.2265, 4.6649], [1.6044, 2.2265, -4.6649]],
  "species": ["Zr", "Sc", "Os", "Os"],
  "frac_coords": [[0.0000, 0.0000, 0.0000], [0.2649, 0.7649, 0.5000], [0.5146, 0.5146, 0.0000], [0.7529, 0.2529, 0.5000]],
  "sg": "Imm2"
}

=====

The calculated energies rank the structures as follows, beginning with the most stable: run four, run three, run one, run two.

=====

Run one
{
  "formula": "ZrSc2Os",
  "functional": "meta-GGA SCAN",
  "state": "single point on PBEsol structure",
  "lattice_angstrom": [[-1.6563, 2.4050, 4.9152], [1.6563, -2.4050, 4.9152], [1.6563, 2.4050, -4.9152]],
  "species": ["Zr", "Sc", "Sc", "Os"],
  "frac_coords": [[0.0000, 0.0000, 0.0000], [0.4218, 0.4218, 0.0000], [0.7120, 0.2120, 0.5000], [0.2078, 0.7078, 0.5000]],
  "sg": "Imm2"
}

=====

Run two
{
  "formula": "ZrSc2Os",
  "functional": "meta-GGA SCAN",
  "state": "single point on PBEsol structure",
  "lattice_angstrom": [[-1.6382, 2.3573, 5.0015], [1.6382, -2.3573, 5.0015], [1.6382, 2.3573, -5.0015]],
  "species": ["Zr", "Sc", "Sc", "Os"],
  "frac_coords": [[0.0000, 0.0000, 0.0000], [0.2868, 0.7868, 0.5000], [0.7132, 0.2132, 0.5000], [0.5000, 0.5000, 0.0000]],
  "sg": "Immm"
}

=====

The calculated energies rank the structures as follows, beginning with the most stable: run two, run one.

=====

Run one
{
  "formula": "Os2Se",
  "functional": "meta-GGA SCAN",
  "state": "single point on PBEsol structure",
  "lattice_angstrom": [[3.9844, 0.0000, 0.0000], [0.0000, 3.9844, 0.0000], [0.0000, 0.0000, 3.0233]],
  "species": ["Os", "Os", "Se"],
  "frac_coords": [[0.0000, 0.5000, 0.0000], [0.5000, 0.0000, 0.0000], [0.0000, 0.0000, 0.5000]],
  "sg": "P4/mmm"
}

=====

Run two
{
  "formula": "Os2Se",
  "functional": "meta-GGA SCAN",
  "state": "single point on PBEsol structure",
  "lattice_angstrom": [[2.8494, 0.0000, 0.0000], [-1.4247, 2.4676, 0.0000], [0.0000, 0.0000, 6.2652]],
  "species": ["Os", "Os", "Se"],
  "frac_coords": [[0.3333, 0.6667, 0.3368], [0.6667, 0.3333, 0.6632], [0.0000, 0.0000, 0.0000]],
  "sg": "P-3m1"
}

=====

The calculated energies rank the structures as follows, beginning with the most stable: run two, run one.

=====

Run one
{
  "formula": "Os4Se",
  "functional": "meta-GGA SCAN",
  "state": "single point on PBEsol structure",
  "lattice_angstrom": [[-3.0542, 3.0542, 1.9423], [3.0542, -3.0542, 1.9423], [3.0542, 3.0542, -1.9423]],
  "species": ["Os", "Os", "Os", "Os", "Se"],
  "frac_coords": [[0.1013, 0.3144, 0.4158], [0.3144, 0.8987, 0.2131], [0.6856, 0.1013, 0.7869], [0.8987, 0.6856, 0.5842], [0.5000, 0.5000, 0.0000]],
  "sg": "I4/m"
}

=====

Run two
{
  "formula": "Os4Se",
  "functional": "meta-GGA SCAN",
  "state": "single point on PBEsol structure",
  "lattice_angstrom": [[-2.7521, 2.7521, 2.7521], [2.7521, -2.7521, 2.7521], [2.7521, 2.7521, -2.7521]],
  "species": ["Os", "Os", "Os", "Os", "Se"],
  "frac_coords": [[0.0000, 0.0000, 0.5000], [0.0000, 0.5000, 0.0000], [0.5000, 0.0000, 0.0000], [0.5000, 0.5000, 0.5000], [0.0000, 0.0000, 0.0000]],
  "sg": "Im-3m"
}

=====

The calculated energies rank the structures as follows, beginning with the most stable: run one, run two.